! Rb2LiMnAs2 | the Alexandria database | PBE-GGA | optimized geometry; values from VASP
&SYSTEM
  ibrav = 0, nat = 12, ntyp = 4
/
ATOMIC_SPECIES
Rb 85.47 Rb.upf
Li 6.94 Li.upf
Mn 54.94 Mn.upf
As 74.92 As.upf
ATOMIC_POSITIONS crystal
Rb 0.401 0.171 0.342
Rb 0.599 0.829 0.658
Rb 0.058 0.329 0.658
Rb 0.942 0.671 0.342
Li 0.000 0.750 0.000
Li 0.000 0.250 0.000
Mn 0.500 0.750 0.000
Mn 0.500 0.250 0.000
As 0.804 0.080 0.161
As 0.356 0.580 0.161
As 0.644 0.420 0.839
As 0.196 0.920 0.839
CELL_PARAMETERS angstrom
6.530 0.000 0.000
0.000 6.466 0.000
-3.265 -3.233 7.906
! - total magnetic moment (μB/f.u.) = 4.0
! - SG = Ibam, No. 72
! - ΔH_f (0 K) (eV per atom) = -0.432